Bi2Pt2N: relaxed, PBE-GGA.

Cell: 7.9746 7.9746 7.9746 Å, 153.04 153.04 38.50°
With the nearest neighbours (Å) after each atom.
Fractional coordinates of all 5 atoms:
Bi 0.1010 0.1010 0.0000  4 Pt 2.91, 4 N 3.04, 1 Bi 3.04
Bi 0.8990 0.8990 0.0000  4 Pt 2.91, 4 N 3.04, 1 Bi 3.04
Pt 0.2500 0.7500 0.5000  4 Pt 2.63, 4 Bi 2.91
Pt 0.7500 0.2500 0.5000  4 Pt 2.63, 4 Bi 2.91
N 0.5000 0.5000 0.0000  8 Bi 3.04

Summary:
**Distance to the lowest polymorph of the same formula**: 0.0 meV per atom
**DOS at the Fermi energy**: 0.488 states/eV/atom